Record 1
# CsPrBeO3

A relaxed CsPrBeO3 crystal (PBE, Alexandria).

The space group is P2_1/m (No. 11) and the conventional cell measures 7.976, 3.637 and 8.422 Å, with angles of 90.00, 109.85 and 90.00 degrees. The inequivalent atoms are Cs at (0.229, 0.250, 0.197), Pr at (0.171, 0.250, 0.660), Be at (0.395, 0.750, 0.944), O at (0.145, 0.750, 0.468), O at (0.191, 0.750, 0.860) and O at (0.469, 0.250, 0.875).

Its density of states at the Fermi level is 0.00 states/eV per atom. The calculation puts the formation energy (no corrections) at -240.4 kJ/mol of atoms.

Record 2
# ErCo4

A relaxed ErCo4 crystal (PBE, Alexandria).

The space group is Pm-3m (No. 221) and the conventional cell measures 4.528, 4.528 and 4.528 Å, with angles of 90.00, 90.00 and 90.00 degrees. The inequivalent atoms are Er at (0.000, 0.000, 0.000), Co at (0.000, 0.000, 0.500) and Co at (0.500, 0.500, 0.500).

Its density of states at the Fermi level is 1.41 states/eV per atom. The excess energy over the best structure of this formula in the dataset is 1972 meV/atom. The energy of formation from the pure elements comes out at 1.884 eV/atom.

Record 3
# Mn2TlSi

A relaxed Mn2TlSi crystal (PBE, Alexandria).

The space group is F-43m (No. 216) and the conventional cell measures 6.384, 6.384 and 6.384 Å, with angles of 90.00, 90.00 and 90.00 degrees. The inequivalent atoms are Mn at (0.000, 0.000, 0.000), Mn at (0.250, 0.250, 0.250), Tl at (0.000, 0.000, 0.500) and Si at (0.250, 0.250, 0.750).

Its density of states at the Fermi level is 1.23 states/eV per atom. The calculation puts the formation energy (no corrections) at 69.7 kJ/mol of atoms.

no.,M_tot (μB per atom)
1,0.000
2,1.080
3,1.436